[1]
Here is an optimized crystal structure of NbSiAs2Au from Alexandria via LeMat-Bulk. Energies are from PBEsol.

Unit cell a=4.592 b=4.592 c=4.781 alpha=90.00 beta=90.00 gamma=90.00
Fractional coordinates of all 5 atoms:
1 Nb 0.000 0.000 0.000
2 Si 0.000 0.000 0.500
3 As 0.000 0.500 0.500
4 As 0.500 0.000 0.500
5 Au 0.500 0.500 0.000

- E_form (uncorrected) (meV/atom) = 859

[2]
Here is an optimized crystal structure of Ca4As7Ir8 from Alexandria via LeMat-Bulk. Energies are from PBEsol.

Unit cell a=12.929 b=4.062 c=13.469 alpha=90.00 beta=98.04 gamma=90.00
Fractional coordinates of all 38 atoms:
1 Ca 0.015 0.250 0.209
2 Ca 0.211 0.750 0.605
3 Ca 0.286 0.750 0.933
4 Ca 0.399 0.750 0.298
5 Ca 0.601 0.250 0.702
6 Ca 0.714 0.250 0.067
7 Ca 0.789 0.250 0.395
8 Ca 0.985 0.750 0.791
9 As 0.031 0.250 0.629
10 As 0.109 0.250 0.934
11 As 0.191 0.750 0.190
12 As 0.245 0.250 0.420
13 As 0.348 0.250 0.779
14 As 0.403 0.250 0.084
15 As 0.440 0.750 0.602
16 As 0.560 0.250 0.398
17 As 0.597 0.750 0.916
18 As 0.652 0.750 0.221
19 As 0.755 0.750 0.580
20 As 0.809 0.250 0.810
21 As 0.891 0.750 0.066
22 As 0.969 0.750 0.371
23 Ir 0.055 0.250 0.452
24 Ir 0.075 0.750 0.028
25 Ir 0.158 0.750 0.361
26 Ir 0.165 0.250 0.770
27 Ir 0.220 0.250 0.099
28 Ir 0.421 0.250 0.502
29 Ir 0.447 0.750 0.781
30 Ir 0.486 0.250 0.927
31 Ir 0.514 0.750 0.073
32 Ir 0.553 0.250 0.219
33 Ir 0.579 0.750 0.498
34 Ir 0.780 0.750 0.901
35 Ir 0.835 0.750 0.230
36 Ir 0.842 0.250 0.639
37 Ir 0.925 0.250 0.972
38 Ir 0.945 0.750 0.548

- formation enthalpy at 0 K (eV per atom) = -0.63

[3]
Here is an optimized crystal structure of SrMnW from Alexandria via LeMat-Bulk. Energies are from PBEsol.

Unit cell a=4.774 b=4.774 c=4.774 alpha=60.00 beta=60.00 gamma=60.00
Fractional coordinates of all 3 atoms:
1 Sr 0.000 0.000 0.000
2 Mn 0.250 0.250 0.250
3 W 0.750 0.750 0.750

- formation enthalpy at 0 K (eV per atom) = 2.60

[4]
Here is an optimized crystal structure of AlZn3Au from Alexandria via LeMat-Bulk. Energies are from PBEsol.

Unit cell a=4.812 b=4.812 c=4.812 alpha=90.00 beta=90.00 gamma=90.00
Fractional coordinates of all 5 atoms:
1 Al 0.000 0.000 0.000
2 Zn 0.000 0.500 0.500
3 Zn 0.500 0.000 0.500
4 Zn 0.500 0.500 0.000
5 Au 0.500 0.500 0.500

- formation enthalpy at 0 K (eV per atom) = 0.39

[5]
Here is an optimized crystal structure of SrAl3Bi from Alexandria via LeMat-Bulk. Energies are from PBEsol.

Unit cell a=5.547 b=5.547 c=5.547 alpha=90.00 beta=90.00 gamma=90.00
Fractional coordinates of all 5 atoms:
1 Sr 0.000 0.000 0.000
2 Al 0.000 0.500 0.500
3 Al 0.500 0.000 0.500
4 Al 0.500 0.500 0.000
5 Bi 0.500 0.500 0.500

- formation enthalpy at 0 K (eV per atom) = 0.63

[6]
Here is an optimized crystal structure of LaCo2 from Alexandria via LeMat-Bulk. Energies are from PBEsol.

Unit cell a=7.251 b=7.251 c=7.251 alpha=147.73 beta=147.73 gamma=46.29
Fractional coordinates of all 6 atoms:
1 La 0.375 0.625 0.750
2 La 0.625 0.375 0.250
3 Co 0.041 0.791 0.250
4 Co 0.209 0.959 0.250
5 Co 0.791 0.041 0.750
6 Co 0.959 0.209 0.750

- formation enthalpy at 0 K (eV per atom) = 0.00